# Al2Tl2Cl7 | Alexandria via LeMat-Bulk | PBE | optimized geometry
data_Al2Tl2Cl7
_chemical_formula_sum 'Al4 Tl4 Cl14'
_symmetry_space_group_name_H-M 'P 1'
_symmetry_Int_Tables_number 1
_cell_length_a 8.209
_cell_length_b 8.209
_cell_length_c 14.091
_cell_angle_alpha 102.65
_cell_angle_beta 102.65
_cell_angle_gamma 105.80
loop_
_symmetry_equiv_pos_as_xyz
'x,y,z'
loop_
_atom_site_label
_atom_site_fract_x
_atom_site_fract_y
_atom_site_fract_z
Tl1 0.350 0.831 0.529
Cl1 0.631 0.628 0.131
Cl2 0.233 0.182 0.598
Tl2 0.169 0.650 0.971
Cl3 0.961 0.364 0.719
Cl4 0.767 0.818 0.402
Cl5 0.182 0.233 0.098
Tl3 0.831 0.350 0.029
Cl6 0.818 0.767 0.902
Cl7 0.628 0.631 0.631
Cl8 0.039 0.961 0.750
Cl9 0.961 0.039 0.250
Cl10 0.372 0.369 0.369
Al1 0.763 0.844 0.767
Cl11 0.369 0.372 0.869
Cl12 0.636 0.039 0.781
Al2 0.156 0.237 0.733
Cl13 0.039 0.636 0.281
Cl14 0.364 0.961 0.219
Al3 0.237 0.156 0.233
Al4 0.844 0.763 0.267
Tl4 0.650 0.169 0.471
# Raw total energy in eV/cell: -77.21
# Symmetry: C2/c
# ΔE_f (raw) in eV/atom: -1.22